Version P
This record from Alexandria describes a geometry-optimized Li3AlZn4 structure. The functional is PBE-GGA.

```
Li3AlZn4
1.0
-2.6408 4.5001 2.6034
2.6408 -4.5001 2.6034
2.6408 4.5001 -2.6034
Li Al Zn
3 1 4
direct
0.0000 0.0000 0.0000 Li
0.4974 0.7438 0.7537 Li
0.9901 0.7438 0.2463 Li
0.9771 0.4771 0.5000 Al
0.0003 0.2490 0.7513 Zn
0.4775 0.2288 0.7512 Zn
0.4775 0.7263 0.2488 Zn
0.4977 0.2490 0.2487 Zn
```

Properties
SG	Imm2
total moment	0.00	Bohr magnetons per cell



Version Q
This record from Alexandria describes a geometry-optimized Li3AlZn4 structure. The functional is PBE-GGA.

```
Li3AlZn4
1.0
8.8984 0.0000 0.0000
0.0000 5.8430 0.0000
0.0000 0.0000 4.5613
Li Al Zn
6 2 8
direct
0.0000 0.0000 0.0000 Li
0.2500 0.0000 0.4022 Li
0.2500 0.5000 0.3926 Li
0.5000 0.0000 0.0000 Li
0.7500 0.0000 0.5978 Li
0.7500 0.5000 0.6074 Li
0.0000 0.5000 0.0000 Al
0.5000 0.5000 0.0000 Al
0.0000 0.2432 0.5000 Zn
0.0000 0.7568 0.5000 Zn
0.2500 0.2403 0.8928 Zn
0.2500 0.7597 0.8928 Zn
0.5000 0.2432 0.5000 Zn
0.5000 0.7568 0.5000 Zn
0.7500 0.2403 0.1072 Zn
0.7500 0.7597 0.1072 Zn
```

Properties
SG	Pmma
total moment	0.00	Bohr magnetons per cell



Most stable structure: version Q